[1]
This record from Alexandria via LeMat-Bulk describes crystalline Rb5NaAu2 at its relaxed geometry. The functional is GGA-PBE.

Unit cell a=9.4221 b=9.4221 c=11.5040 alpha=114.17 beta=114.17 gamma=90.00
Atoms (fractional coordinates):
Rb 0.9584 0.4584 0.2511
Au 0.6123 0.1123 0.0000
Rb 0.7073 0.2073 0.7489
Au 0.1123 0.3877 0.0000
Rb 0.4584 0.2927 0.2511
Au 0.3877 0.8877 0.0000
Na 0.7500 0.7500 0.5000
Rb 0.2073 0.0416 0.7489
Na 0.2500 0.2500 0.5000
Rb 0.7927 0.9584 0.2511
Rb 0.0416 0.5416 0.7489
Au 0.8877 0.6123 0.0000
Rb 0.0000 0.0000 0.0000
Rb 0.5416 0.7073 0.7489
Rb 0.5000 0.5000 0.0000
Rb 0.2927 0.7927 0.2511

[2]
This record from Alexandria via LeMat-Bulk describes crystalline Rb3Na4Au4 at its relaxed geometry. The functional is GGA-PBE.

Unit cell a=5.0620 b=8.4420 c=9.7154 alpha=115.75 beta=105.10 gamma=90.00
Atoms (fractional coordinates):
Au 0.5000 0.8246 0.0000
Na 0.6745 0.4760 0.3490
Rb 0.0000 0.5000 0.0000
Rb 0.8810 0.8810 0.7620
Au 0.2159 0.7159 0.4317
Na 0.3255 0.5240 0.6510
Na 0.3255 0.1269 0.6510
Au 0.7841 0.2841 0.5683
Au 0.5000 0.1754 0.0000
Rb 0.1190 0.1190 0.2380
Na 0.6745 0.8731 0.3490

Results
Energy above the most stable polymorph in this dataset   0 meV/atom

[3]
This record from Alexandria via LeMat-Bulk describes crystalline RbNaAu4 at its relaxed geometry. The functional is GGA-PBE.

Unit cell a=5.7843 b=5.7843 c=5.7843 alpha=60.00 beta=60.00 gamma=60.00
Atoms (fractional coordinates):
Au 0.1234 0.6255 0.6255
Au 0.6255 0.6255 0.6255
Au 0.6255 0.1234 0.6255
Rb 0.2500 0.2500 0.2500
Na 0.0000 0.0000 0.0000
Au 0.6255 0.6255 0.1234

[4]
This record from Alexandria via LeMat-Bulk describes crystalline Rb5NaAu at its relaxed geometry. The functional is GGA-PBE.

Unit cell a=8.7843 b=8.7843 c=12.4307 alpha=96.49 beta=96.49 gamma=94.08
Atoms (fractional coordinates):
Rb 0.8808 0.1192 0.7500
Rb 0.6506 0.1028 0.3730
Na 0.4397 0.5603 0.2500
Au 0.0000 0.0000 0.5000
Rb 0.2061 0.3523 0.4917
Rb 0.6477 0.7939 0.0083
Au 0.0000 0.0000 0.0000
Rb 0.8972 0.3494 0.1270
Rb 0.3523 0.2061 0.9917
Rb 0.3494 0.8972 0.6270
Rb 0.1028 0.6506 0.8730
Rb 0.7939 0.6477 0.5083
Na 0.5603 0.4397 0.7500
Rb 0.1192 0.8808 0.2500

Result set for calculated formation energy: -0.16 -0.25 -0.27 -0.06 eV/atom, one per record in the order listed.
Result set for total energy: -1.746 -2.181 -2.833 -1.413 eV per atom, one per record in the order listed.
Result set for density: 3.4 5.3 10.9 2.3 g/cm3, one per record in the order listed.